## Sm2ThPd (PBE-GGA)

Data for a relaxed Sm2ThPd crystal.

## Properties
The energy relative to the lowest polymorph listed for this composition is 0 meV per atom. The space group is P4/mmm (123). The value obtained for the total magnetic moment is 0.00 μB per formula unit.

Cell: 3.6258 3.6258 8.4123 Å, 90.00 90.00 90.00°
Fractional coordinates of all 4 atoms:
1 Sm 0.0000 0.0000 0.2070
2 Sm 0.0000 0.0000 0.7930
3 Th 0.5000 0.5000 0.5000
4 Pd 0.5000 0.5000 0.0000

***

## SmTh2Pd9 (PBE-GGA)

Data for a relaxed SmTh2Pd9 crystal.

## Properties
The space group is P4/mmm (123). The value obtained for the total magnetic moment is 0.00 μB per formula unit.

Cell: 4.2054 4.2054 12.5982 Å, 90.00 90.00 90.00°
Fractional coordinates of all 12 atoms:
1 Sm 0.0000 0.0000 0.0000
2 Th 0.0000 0.0000 0.3298
3 Th 0.0000 0.0000 0.6702
4 Pd 0.0000 0.5000 0.1678
5 Pd 0.0000 0.5000 0.5000
6 Pd 0.0000 0.5000 0.8322
7 Pd 0.5000 0.0000 0.1678
8 Pd 0.5000 0.0000 0.5000
9 Pd 0.5000 0.0000 0.8322
10 Pd 0.5000 0.5000 0.0000
11 Pd 0.5000 0.5000 0.3343
12 Pd 0.5000 0.5000 0.6657

***

## Sm2ThPd9 (PBE-GGA)

Data for a relaxed Sm2ThPd9 crystal.

## Properties
The space group is P4/mmm (123). The value obtained for the total magnetic moment is 0.00 μB per formula unit.

Cell: 4.1833 4.1833 12.5706 Å, 90.00 90.00 90.00°
Fractional coordinates of all 12 atoms:
1 Sm 0.0000 0.0000 0.1646
2 Sm 0.0000 0.0000 0.8354
3 Th 0.0000 0.0000 0.5000
4 Pd 0.0000 0.5000 0.0000
5 Pd 0.0000 0.5000 0.3348
6 Pd 0.0000 0.5000 0.6652
7 Pd 0.5000 0.0000 0.0000
8 Pd 0.5000 0.0000 0.3348
9 Pd 0.5000 0.0000 0.6652
10 Pd 0.5000 0.5000 0.1673
11 Pd 0.5000 0.5000 0.5000
12 Pd 0.5000 0.5000 0.8327

***

## SmThPd14 (PBE-GGA)

Data for a relaxed SmThPd14 crystal.

## Properties
The space group is P4/mmm (123). The value obtained for the total magnetic moment is 0.00 μB per formula unit.

Cell: 5.8694 5.8694 7.8776 Å, 90.00 90.00 90.00°
Fractional coordinates of all 16 atoms:
1 Sm 0.0000 0.0000 0.0000
2 Th 0.5000 0.5000 0.0000
3 Pd 0.0000 0.0000 0.5000
4 Pd 0.0000 0.5000 0.0000
5 Pd 0.0000 0.5000 0.5000
6 Pd 0.2510 0.2510 0.2610
7 Pd 0.2510 0.2510 0.7390
8 Pd 0.2510 0.7490 0.2610
9 Pd 0.2510 0.7490 0.7390
10 Pd 0.5000 0.0000 0.0000
11 Pd 0.5000 0.0000 0.5000
12 Pd 0.5000 0.5000 0.5000
13 Pd 0.7490 0.2510 0.2610
14 Pd 0.7490 0.2510 0.7390
15 Pd 0.7490 0.7490 0.2610
16 Pd 0.7490 0.7490 0.7390

***

## Sm2ThPd (PBE-GGA)

Data for a relaxed Sm2ThPd crystal.

## Properties
The energy relative to the lowest polymorph listed for this composition is 121 meV per atom. The space group is R-3m (166). The value obtained for the total magnetic moment is 0.00 μB per formula unit.

Cell: 3.6836 3.6836 29.6016 Å, 90.00 90.00 120.00°
Fractional coordinates of all 12 atoms:
1 Sm 0.0000 0.0000 0.2351
2 Sm 0.0000 0.0000 0.7649
3 Sm 0.3333 0.6667 0.4316
4 Sm 0.3333 0.6667 0.9017
5 Sm 0.6667 0.3333 0.0983
6 Sm 0.6667 0.3333 0.5684
7 Th 0.0000 0.0000 0.0000
8 Th 0.3333 0.6667 0.6667
9 Th 0.6667 0.3333 0.3333
10 Pd 0.0000 0.0000 0.5000
11 Pd 0.3333 0.6667 0.1667
12 Pd 0.6667 0.3333 0.8333

***

## Sm2ThPd7 (PBE-GGA)

Data for a relaxed Sm2ThPd7 crystal.

## Properties
The space group is Fmmm (69). The value obtained for the total magnetic moment is 0.00 μB per formula unit.

Cell: 9.5561 9.0077 5.1900 Å, 79.68 68.03 32.30°
Fractional coordinates of all 10 atoms:
1 Sm 0.1733 0.1733 0.8267
2 Sm 0.8267 0.8267 0.1733
3 Th 0.5000 0.5000 0.5000
4 Pd 0.0000 0.0000 0.0000
5 Pd 0.0839 0.0839 0.4161
6 Pd 0.2500 0.2500 0.2500
7 Pd 0.4161 0.4161 0.0839
8 Pd 0.5839 0.5839 0.9161
9 Pd 0.7500 0.7500 0.7500
10 Pd 0.9161 0.9161 0.5839

***

Number 1: DFT formation energy -0.35 eV per atom. Number 2: DFT formation energy -0.93 eV per atom. Number 3: DFT formation energy -0.88 eV per atom. Number 4: DFT formation energy -0.43 eV per atom. Number 5: DFT formation energy -0.23 eV per atom. Number 6: DFT formation energy -0.68 eV per atom.